1.
12
Lattice="-2.205 -4.026 -1.110 4.510 -0.086 1.398 -2.268 -0.762 7.267" Properties=species:S:1:pos:R:3 comment="ZrCu3Ni8, relaxed, DFT PBE-GGA" total_magnetization_mub_per_cell=2.74 ef_ev_per_atom=-0.069 crystal_system=trigonal mass_density_g_cm3=8.4 pbc="T T T"
Zr -1.290 -0.433 4.133
Cu -0.918 -3.032 2.776
Cu -0.108 -2.760 0.180
Cu -2.156 -0.724 6.910
Ni 1.142 -1.778 4.182
Ni 0.008 -2.160 7.818
Ni -2.788 -2.603 4.934
Ni -0.583 -2.645 5.618
Ni -1.661 -4.614 5.075
Ni 0.558 -0.875 2.065
Ni 2.851 -0.919 2.776
Ni 1.730 -2.966 2.211

---

2.
4
Lattice="-0.059 -1.159 -2.310 3.625 -0.267 0.041 -0.364 -4.578 2.306" Properties=species:S:1:pos:R:3 comment="LiNi2Rh, relaxed, DFT PBE-GGA" total_magnetization_mub_per_cell=1.72 ef_ev_per_atom=0.043 crystal_system=orthorhombic mass_density_g_cm3=7.8 pbc="T T T"
Li 1.507 -4.189 0.616
Ni -0.001 -0.008 0.004
Ni 1.694 -1.829 -0.572
Rh -0.180 -2.268 1.142

---

3.
3
Lattice="-0.324 4.478 2.543 -4.145 3.072 0.062 1.411 -4.924 0.617" Properties=species:S:1:pos:R:3 comment="ZrMnPt, relaxed, DFT PBE-GGA" total_magnetization_mub_per_cell=3.49 ef_ev_per_atom=-0.508 crystal_system=tetragonal mass_density_g_cm3=10.9 pbc="T T T"
Mn -3.031 2.582 3.207
Pt -0.093 -2.382 1.494
Zr -2.990 5.051 1.743

---

4.
6
Lattice="3.420 0.000 0.000 0.000 4.834 -0.955 0.000 -3.381 8.312" Properties=species:S:1:pos:R:3 comment="PmNpN, relaxed, DFT PBE-GGA" total_magnetization_mub_per_cell=7.48 crystal_system=orthorhombic mass_density_g_cm3=10.4 relative_energy_ev_per_atom=0.000 raw_formation_energy_ev_per_atom=-0.606 pbc="T T T"
Pm 0.855 2.159 4.577
Pm 2.565 -0.706 2.780
N 2.565 -2.313 7.369
N 0.855 3.767 -0.012
Np 2.565 0.075 6.741
Np 0.855 1.378 0.616

---

5.
10
Lattice="4.824 -0.405 -0.004 -2.017 4.401 -0.004 -1.400 -1.993 4.576" Properties=species:S:1:pos:R:3 comment="V2GeH2, relaxed, DFT PBE-GGA" total_magnetization_mub_per_cell=0.00 crystal_system=orthorhombic mass_density_g_cm3=6.3 relative_energy_ev_per_atom=0.000 pbc="T T T"
V -0.677 -0.265 3.430
V 1.738 -0.473 1.142
V -0.331 2.476 3.426
V 2.084 2.268 1.138
Ge 1.911 0.902 3.426
Ge -0.503 1.102 1.142
H 0.507 -1.093 2.329
H 0.903 3.101 0.038
H 0.900 3.096 2.239
H 0.504 -1.097 4.530

---

6.
5
Lattice="-0.630 2.833 -4.391 -5.223 -0.202 0.619 0.160 4.321 2.764" Properties=species:S:1:pos:R:3 comment="NaCd2InPd, relaxed, DFT PBE-GGA" total_magnetization_mub_per_cell=0.00 ef_ev_per_atom=-0.135 crystal_system=tetragonal mass_density_g_cm3=5.5 pbc="T T T"
Na -2.846 3.476 -0.504
Cd -2.611 -0.101 0.310
Cd -0.315 1.416 -2.195
Pd 0.000 0.000 0.000
In 0.080 2.160 1.382

---

7.
4
Lattice="-2.535 -3.601 -0.247 0.377 0.037 -4.394 2.560 -1.816 0.205" Properties=species:S:1:pos:R:3 comment="BeOsAu2, relaxed, DFT PBE-GGA" total_magnetization_mub_per_cell=0.00 ef_ev_per_atom=0.531 crystal_system=tetragonal mass_density_g_cm3=16.1 pbc="T T T"
Os 1.469 -0.890 -2.095
Au 0.000 0.000 0.000
Au -1.079 -1.782 -2.321
Be 0.013 -2.709 -0.021

---

8.
4
Lattice="3.004 0.000 0.000 0.000 3.173 0.000 0.000 0.000 6.793" Properties=species:S:1:pos:R:3 comment="CrRh2Br, relaxed, DFT PBE-GGA" total_magnetization_mub_per_cell=1.80 crystal_system=orthorhombic mass_density_g_cm3=8.7 relative_energy_ev_per_atom=0.000 raw_formation_energy_ev_per_atom=0.276 pbc="T T T"
Br 1.502 1.587 1.698
Cr 1.502 1.587 5.095
Rh 0.000 0.000 6.460
Rh 0.000 0.000 3.730

---

9.
16
Lattice="3.319 -5.748 0.000 3.319 5.748 0.000 0.000 0.000 10.323" Properties=species:S:1:pos:R:3 comment="CeYMg14, relaxed, DFT PBE-GGA" total_magnetization_mub_per_cell=1.32 ef_ev_per_atom=0.029 crystal_system=hexagonal mass_density_g_cm3=2.4 relative_energy_ev_per_atom=0.040 pbc="T T T"
Ce 0.000 0.000 5.161
Y 0.000 0.000 0.000
Mg 1.686 2.858 0.000
Mg 1.716 2.841 5.161
Mg 4.951 2.858 0.000
Mg 4.921 2.841 5.161
Mg 3.319 0.031 0.000
Mg 3.319 0.066 5.161
Mg 3.319 3.790 2.560
Mg 3.319 3.790 7.763
Mg 1.696 0.979 2.560
Mg 1.696 0.979 7.763
Mg 4.941 0.979 2.560
Mg 4.941 0.979 7.763
Mg 3.319 -1.916 2.619
Mg 3.319 -1.916 7.704

---

10.
10
Lattice="6.963 0.000 0.000 0.000 6.505 0.000 0.000 -3.253 7.809" Properties=species:S:1:pos:R:3 comment="BaMgInBi2, relaxed, DFT PBE-GGA" total_magnetization_mub_per_cell=0.00 ef_ev_per_atom=-0.335 crystal_system=orthorhombic mass_density_g_cm3=6.5 pbc="T T T"
Ba 1.554 3.253 3.905
Ba 5.410 0.000 3.905
Mg 3.482 4.879 0.000
Mg 3.482 1.626 0.000
In 0.000 0.000 0.000
In 0.000 3.253 0.000
Bi 4.940 3.253 5.639
Bi 4.940 3.253 2.170
Bi 2.023 0.000 5.639
Bi 2.023 0.000 2.170

---

11.
12
Lattice="-2.628 -1.959 -4.806 1.569 -3.727 4.182 -7.486 0.989 3.690" Properties=species:S:1:pos:R:3 comment="TlZn2Au3, relaxed, DFT PBE-GGA" total_magnetization_mub_per_cell=0.00 ef_ev_per_atom=-0.095 crystal_system=hexagonal mass_density_g_cm3=12.5 pbc="T T T"
Tl -3.743 0.495 1.845
Tl 0.000 0.000 0.000
Zn -4.972 -2.054 0.035
Zn 0.170 -3.138 1.186
Zn -3.573 -2.643 3.031
Zn -1.229 -2.548 -1.810
Au -3.185 -0.732 -1.480
Au -4.830 -1.122 4.859
Au -6.929 -0.238 0.364
Au -2.401 -2.596 0.610
Au -1.087 -1.616 3.013
Au -6.144 -2.100 2.456

---

12.
4
Lattice="4.405 0.000 0.000 2.203 3.815 0.000 2.203 1.272 3.597" Properties=species:S:1:pos:R:3 comment="LiZnNiSb, relaxed, DFT PBE-GGA" total_magnetization_mub_per_cell=0.00 crystal_system=cubic mass_density_g_cm3=6.9 raw_formation_energy_ev_per_atom=-0.242 pbc="T T T"
Sb 0.000 0.000 0.000
Zn 4.405 2.543 1.798
Li 6.608 3.815 2.698
Ni 2.203 1.272 0.899